Crystalline ScBeCuGe at its relaxed geometry. Source: OQMD, functional PBE.

Properties
Excess energy over the best structure of this formula in the dataset: 0.045 eV/atom

Cell lengths 6.1074, 6.1074, 6.1074 Å; angles 90.00, 90.00, 90.00 degrees
Last column: nearest neighbours and their distance in Å.
Space group F-43m (No. 216)
Asymmetric unit:
Sc1 0.0000 0.0000 0.0000 (multiplicity 4)  4 Be 2.64, 4 Cu 2.64
Be1 0.2500 0.2500 0.7500 (multiplicity 4)  4 Ge 2.64, 4 Sc 2.64
Cu1 0.2500 0.2500 0.2500 (multiplicity 4)  4 Ge 2.64, 4 Sc 2.64
Ge1 0.0000 0.0000 0.5000 (multiplicity 4)  4 Be 2.64, 4 Cu 2.64